Material: InRe3Au
Method: DFT, SCAN
State: PBEsol geometry

Calculated values
DOS at the Fermi energy   4.5 states/eV/f.u.
Electronic total energy   -59.839 eV/atom
Magnetization   0.0 μB/f.u.
Formation enthalpy at 0 K   3.33 eV/atom

Lattice parameters (Å, degrees): 4.7206 4.7206 4.7206 90.00 90.00 90.00
Element x y z (fractional)
In 0.0000 0.0000 0.0000
Re 0.0000 0.0000 0.5000
Re 0.0000 0.5000 0.0000
Re 0.5000 0.0000 0.0000
Au 0.5000 0.5000 0.5000